Computed, not measured: a relaxed SrV2AuF crystal at the PBE with a Hubbard U level of DFT.

Calculated values
**Space-group type**: P4/mmm (123)
**DFT total energy**: -0.330 Ry/atom

a b c (Å): 4.3950 6.0335 4.3950
angles (deg): 90.00 90.00 90.00
Fractional coordinates of all 5 atoms:
Sr: 0.5000 0.5000 0.5000
V: 0.5000 0.0000 0.0000
V: 0.0000 0.0000 0.5000
F: 0.0000 0.0000 0.0000
Au: 0.0000 0.5000 0.0000